1.
Compound: Ba2WN
Source: Alexandria via LeMat-Bulk
Functional: PBE
Structure: optimized geometry

Its total energy is -98.50 eV/cell. The value obtained for the calculated density is 6.013 g/cm³.

The space group is I-42d (No. 122) and the conventional cell measures 11.479, 11.479 and 3.961 Å, with angles of 90.00, 90.00 and 90.00 degrees. The asymmetric unit holds Ba at (0.057, 0.250, 0.125), W at (0.000, 0.000, 0.500) and N at (0.000, 0.000, 0.000).

***

2.
Compound: BaW3N
Source: Alexandria via LeMat-Bulk
Functional: PBE
Structure: optimized geometry

Its total energy is -24.02 eV/cell. The value obtained for the calculated density is 9.144 g/cm³. As for the excess energy over the best structure of this formula in the dataset: 370.66 kJ/mol of atoms.

The space group is Pm-3m (No. 221) and the conventional cell measures 5.035, 5.035 and 5.035 Å, with angles of 90.00, 90.00 and 90.00 degrees. The asymmetric unit holds Ba at (0.000, 0.000, 0.000), W at (0.000, 0.000, 0.500) and N at (0.500, 0.500, 0.500).

***

Copy entry 2 word for word.
Compound: BaW3N
Source: Alexandria via LeMat-Bulk
Functional: PBE
Structure: optimized geometry

Its total energy is -24.02 eV/cell. The value obtained for the calculated density is 9.144 g/cm³. As for the excess energy over the best structure of this formula in the dataset: 370.66 kJ/mol of atoms.

The space group is Pm-3m (No. 221) and the conventional cell measures 5.035, 5.035 and 5.035 Å, with angles of 90.00, 90.00 and 90.00 degrees. The asymmetric unit holds Ba at (0.000, 0.000, 0.000), W at (0.000, 0.000, 0.500) and N at (0.500, 0.500, 0.500).